10
Lattice="-3.2977 3.2977 6.7936 3.2977 -3.2977 6.7936 3.2977 3.2977 -6.7936" Properties=species:S:1:pos:R:3 comment="As2S2Br, relaxed, DFT PBE-GGA" e_tot_ev_per_atom=-3.81 raw_formation_energy_ev_per_fu=0.17 e_above_lowest_polymorph_kj_per_mol_atoms=9.5 total_magnetization_mub_per_cell=2.00 pbc="T T T"
As 0.0000 1.6013 0.0000
As -1.6013 3.2977 3.3968
As 1.6013 3.2977 3.3968
As 0.0000 4.9941 0.0000
S 0.0000 1.7092 3.3166
S 0.0000 4.8862 3.3166
S -1.7092 3.2977 6.7134
S 1.7092 3.2977 6.7134
Br 3.2977 0.0000 4.2173
Br 0.0000 0.0000 7.6141